(1)
{"formula": "NbHRh3", "functional": "PBE", "state": "optimized geometry", "lattice_angstrom": [[4.315, 0.000, 2.276], [0.000, 5.571, 0.000], [0.679, 0.000, 5.529]], "species": ["Nb", "Nb", "Rh", "Rh", "Rh", "Rh", "Rh", "Rh", "H", "H"], "fractional_positions": [[0.018, 0.750, 0.741], [0.982, 0.250, 0.259], [0.500, 0.000, 0.254], [0.990, 0.750, 0.255], [0.500, 0.500, 0.746], [0.010, 0.250, 0.745], [0.500, 0.500, 0.254], [0.500, 0.000, 0.746], [0.539, 0.250, 0.981], [0.461, 0.750, 0.019]], "magnetic_moment_mub_per_cell": 0.000, "de_polymorph_mev_per_atom": 61}


(2)
{"formula": "Li2LaNdAu4", "functional": "PBE", "state": "optimized geometry", "lattice_angstrom": [[4.613, 0.000, 0.000], [2.306, 3.995, 0.000], [2.306, 1.332, 9.662]], "species": ["Au", "Au", "Au", "Au", "Li", "Li", "Nd", "La"], "fractional_positions": [[0.107, 0.107, 0.678], [0.390, 0.390, 0.829], [0.610, 0.610, 0.171], [0.893, 0.893, 0.322], [0.252, 0.252, 0.243], [0.748, 0.748, 0.757], [0.000, 0.000, 0.000], [0.500, 0.500, 0.500]], "magnetic_moment_mub_per_cell": 0.000, "ef_mev_per_atom": -715}


(3)
{"formula": "NbAl2F", "functional": "PBE", "state": "optimized geometry", "lattice_angstrom": [[0.000, 3.208, 3.208], [3.208, 0.000, 3.208], [3.208, 3.208, 0.000]], "species": ["F", "Al", "Al", "Nb"], "fractional_positions": [[0.000, 0.000, 0.000], [0.250, 0.250, 0.250], [0.750, 0.750, 0.750], [0.500, 0.500, 0.500]], "magnetic_moment_mub_per_cell": 0.000, "de_polymorph_mev_per_atom": 397}


(4)
{"formula": "UMoS2", "functional": "PBE", "state": "optimized geometry", "lattice_angstrom": [[3.958, 0.000, 0.000], [1.979, 3.428, 0.000], [1.979, 1.143, 5.097]], "species": ["Mo", "S", "S", "U"], "fractional_positions": [[0.000, 0.000, 0.000], [0.735, 0.735, 0.794], [0.265, 0.265, 0.206], [0.500, 0.500, 0.500]], "magnetic_moment_mub_per_cell": 2.003, "de_polymorph_mev_per_atom": 0}


(5)
{"formula": "PmUCl2F6", "functional": "PBE", "state": "optimized geometry", "lattice_angstrom": [[-4.154, 4.367, 1.897], [-4.758, -3.683, -1.940], [-4.622, -1.569, 4.015]], "species": ["F", "F", "F", "F", "F", "F", "Cl", "Cl", "U", "Pm"], "fractional_positions": [[0.262, 0.261, 0.000], [0.738, 0.739, 0.000], [0.261, 0.261, 0.477], [0.739, 0.261, 0.000], [0.739, 0.739, 0.523], [0.261, 0.739, 0.000], [0.250, 0.750, 0.500], [0.750, 0.250, 0.500], [0.500, 0.500, 0.000], [0.000, 0.000, 0.000]], "magnetic_moment_mub_per_cell": 0.855, "total_energy_ev_per_cell": -61.64}


(6)
{"formula": "TaMo2Cl", "functional": "PBE", "state": "optimized geometry", "lattice_angstrom": [[-2.757, 4.589, 0.497], [-3.692, 0.573, 3.867], [5.093, -1.636, -0.537]], "species": ["Ta", "Cl", "Mo", "Mo"], "fractional_positions": [[0.500, 0.500, 0.000], [0.750, 0.250, 0.500], [0.250, 0.750, 0.500], [0.000, 0.000, 0.000]], "magnetic_moment_mub_per_cell": 0.740, "de_polymorph_mev_per_atom": 691}


(7)
{"formula": "Y2ErIr", "functional": "PBE", "state": "optimized geometry", "lattice_angstrom": [[-3.445, -1.656, -0.656], [3.450, -0.538, -5.302], [3.289, -8.009, 2.953]], "species": ["Y", "Y", "Y", "Y", "Ir", "Ir", "Er", "Er"], "fractional_positions": [[0.359, 0.718, 0.567], [0.359, 0.718, 0.933], [0.641, 0.282, 0.067], [0.641, 0.282, 0.433], [0.745, 0.489, 0.750], [0.255, 0.511, 0.250], [0.923, 0.847, 0.250], [0.077, 0.153, 0.750]], "magnetic_moment_mub_per_cell": 0.000, "ef_mev_per_atom": -540, "de_polymorph_mev_per_atom": 39}


(8)
{"formula": "CePr2P3Rh4", "functional": "PBE", "state": "optimized geometry", "lattice_angstrom": [[4.101, 0.000, 0.000], [0.000, 4.101, 0.000], [0.000, 0.000, 11.062]], "species": ["P", "P", "P", "Rh", "Rh", "Rh", "Rh", "Ce", "Pr", "Pr"], "fractional_positions": [[0.000, 0.000, 0.500], [0.500, 0.000, 0.874], [0.000, 0.500, 0.126], [0.500, 0.000, 0.659], [0.500, 0.500, 0.000], [0.000, 0.000, 0.000], [0.000, 0.500, 0.341], [0.500, 0.500, 0.500], [0.500, 0.000, 0.220], [0.000, 0.500, 0.780]], "magnetic_moment_mub_per_cell": 0.000, "ef_mev_per_atom": -1032}


(9)
{"formula": "La2Pr6Nd3Y", "functional": "PBE", "state": "optimized geometry", "lattice_angstrom": [[6.414, -0.001, -0.001], [-3.206, 5.556, -0.001], [-1.079, -1.868, 12.088]], "species": ["Nd", "Nd", "Nd", "Pr", "Pr", "Pr", "Pr", "Pr", "Pr", "La", "La", "Y"], "fractional_positions": [[0.166, 0.834, 0.500], [0.834, 0.166, 0.500], [0.500, 0.500, 0.500], [0.750, 0.750, 0.251], [0.416, 0.083, 0.251], [0.250, 0.250, 0.749], [0.083, 0.416, 0.251], [0.584, 0.917, 0.749], [0.917, 0.584, 0.749], [0.333, 0.667, 0.000], [0.667, 0.333, 0.000], [0.000, 0.000, 0.000]], "magnetic_moment_mub_per_cell": 0.000, "ef_mev_per_atom": 13}


(10)
{"formula": "Sm2PuNiS5", "functional": "PBE", "state": "optimized geometry", "lattice_angstrom": [[-2.764, 1.230, 2.341], [0.611, -8.239, 1.925], [8.097, 2.524, 8.233]], "species": ["S", "S", "S", "S", "S", "S", "S", "S", "S", "S", "Sm", "Sm", "Sm", "Sm", "Pu", "Pu", "Ni", "Ni"], "fractional_positions": [[0.344, 0.687, 0.019], [0.017, 0.034, 0.010], [0.681, 0.363, 0.861], [0.505, 0.009, 0.248], [0.656, 0.313, 0.519], [0.697, 0.394, 0.194], [0.319, 0.637, 0.361], [0.495, 0.991, 0.748], [0.983, 0.966, 0.510], [0.303, 0.606, 0.694], [0.883, 0.766, 0.194], [0.112, 0.225, 0.348], [0.117, 0.234, 0.694], [0.888, 0.775, 0.848], [0.178, 0.356, 0.028], [0.822, 0.644, 0.528], [0.450, 0.899, 0.421], [0.550, 0.101, 0.921]], "magnetic_moment_mub_per_cell": 8.213, "total_energy_ev_per_cell": -129.54}


(11)
{"formula": "SiPtBr", "functional": "PBE", "state": "optimized geometry", "lattice_angstrom": [[-1.712, 6.245, 3.964], [0.766, -3.040, 5.120], [7.169, -3.140, -2.938]], "species": ["Si", "Si", "Si", "Si", "Br", "Br", "Br", "Br", "Pt", "Pt", "Pt", "Pt"], "fractional_positions": [[0.116, 0.152, 0.477], [0.616, 0.348, 0.477], [0.884, 0.848, 0.523], [0.384, 0.652, 0.523], [0.182, 0.622, 0.852], [0.318, 0.122, 0.148], [0.818, 0.378, 0.148], [0.682, 0.878, 0.852], [0.504, 0.296, 0.676], [0.004, 0.204, 0.676], [0.496, 0.704, 0.324], [0.996, 0.796, 0.324]], "magnetic_moment_mub_per_cell": 0.000, "de_polymorph_mev_per_atom": 0}


(12)
{"formula": "Sr4Al5Ge6", "functional": "PBE", "state": "optimized geometry", "lattice_angstrom": [[4.438, 0.000, 0.000], [-2.219, 9.983, 0.000], [0.000, 0.000, 16.400]], "species": ["Sr", "Sr", "Sr", "Sr", "Sr", "Sr", "Sr", "Sr", "Ge", "Ge", "Ge", "Ge", "Ge", "Ge", "Ge", "Ge", "Ge", "Ge", "Ge", "Ge", "Al", "Al", "Al", "Al", "Al", "Al", "Al", "Al", "Al", "Al"], "fractional_positions": [[0.992, 0.983, 0.999], [0.827, 0.654, 0.810], [0.008, 0.017, 0.499], [0.173, 0.346, 0.310], [0.975, 0.951, 0.261], [0.025, 0.049, 0.761], [0.177, 0.355, 0.944], [0.823, 0.645, 0.444], [0.123, 0.246, 0.122], [0.440, 0.880, 0.856], [0.432, 0.863, 0.391], [0.782, 0.564, 0.257], [0.215, 0.430, 0.497], [0.560, 0.120, 0.356], [0.218, 0.436, 0.757], [0.570, 0.141, 0.627], [0.430, 0.859, 0.127], [0.785, 0.570, 0.997], [0.568, 0.137, 0.891], [0.877, 0.754, 0.622], [0.854, 0.708, 0.127], [0.573, 0.147, 0.184], [0.146, 0.292, 0.627], [0.643, 0.287, 0.487], [0.352, 0.704, 0.264], [0.357, 0.713, 0.987], [0.427, 0.853, 0.684], [0.707, 0.413, 0.128], [0.648, 0.296, 0.764], [0.293, 0.587, 0.628]], "magnetic_moment_mub_per_cell": 0.000, "ef_mev_per_atom": -392}